Tc2B2N: relaxed, GGA-PBE.

```
data_Tc2B2N
_cell_length_a 2.782
_cell_length_b 2.782
_cell_length_c 12.129
_cell_angle_alpha 90.00
_cell_angle_beta 90.00
_cell_angle_gamma 90.00
_space_group_name_H-M_alt 'I 4/m m m'
_space_group_IT_number 139
_space_group_name_Hall '-I 4 2'
loop_
_atom_site_label
_atom_site_type_symbol
_atom_site_fract_x
_atom_site_fract_y
_atom_site_fract_z
Tc1 Tc 0.000 0.000 0.109
B1 B 0.000 0.500 0.250
N1 N 0.000 0.000 0.500
```

Results
The value obtained for the formation energy (no corrections) is 1.0 eV/f.u. Its spin magnetization is 0.0 μB/f.u. The crystal system is tetragonal.